No. 1
Compound: Mn3AgP
Source: Alexandria via LeMat-Bulk
Functional: PBE
Structure: relaxed

The formation energy from the elements comes out at 0.613 eV per atom. The value obtained for the energy is -0.24036 Ha/atom. Its mass density is 7056 kg/m³. Its crystal system is cubic. As for the total magnetization: 0.000 μB per formula unit. As for the energy above the most stable polymorph in this dataset: 0 meV per atom.

The space group is Pm-3m (No. 221) and the conventional cell measures 4.150, 4.150 and 4.150 Å, with angles of 90.00, 90.00 and 90.00 degrees. Symmetry generates all atoms from Mn at (0.000, 0.000, 0.500), Ag at (0.500, 0.500, 0.500) and P at (0.000, 0.000, 0.000).


No. 2
Compound: MnAgP2
Source: Alexandria via LeMat-Bulk
Functional: PBE
Structure: relaxed

The formation energy from the elements comes out at 0.525 eV per atom. The value obtained for the energy is -0.19053 Ha/atom. Its mass density is 6650 kg/m³. Its crystal system is cubic. As for the total magnetization: 0.002 μB per formula unit. As for the energy above the most stable polymorph in this dataset: 549 meV per atom.

The space group is Fm-3m (No. 225) and the conventional cell measures 6.078, 6.078 and 6.078 Å, with angles of 90.00, 90.00 and 90.00 degrees. Symmetry generates all atoms from Mn at (0.000, 0.000, 0.000), Ag at (0.000, 0.000, 0.500) and P at (0.250, 0.250, 0.250).


No. 3
Compound: MnAg2P
Source: Alexandria via LeMat-Bulk
Functional: PBE
Structure: relaxed

The formation energy from the elements comes out at 0.234 eV per atom. The value obtained for the energy is -0.17773 Ha/atom. Its mass density is 7544 kg/m³. Its crystal system is tetragonal. As for the total magnetization: 4.138 μB per formula unit.

The space group is I4/mmm (No. 139) and the conventional cell measures 3.850, 3.850 and 8.957 Å, with angles of 90.00, 90.00 and 90.00 degrees. Symmetry generates all atoms from Mn at (0.000, 0.000, 0.000), Ag at (0.000, 0.500, 0.250) and P at (0.000, 0.000, 0.500).


No. 4
Compound: MnAg2P
Source: Alexandria via LeMat-Bulk
Functional: PBE
Structure: relaxed

The formation energy from the elements comes out at 0.027 eV per atom. The value obtained for the energy is -0.18535 Ha/atom. Its mass density is 7689 kg/m³. Its crystal system is monoclinic. As for the total magnetization: 2.794 μB per formula unit.

The space group is Pm (No. 6) and the conventional cell measures 3.074, 3.123 and 6.956 Å, with angles of 90.00, 102.69 and 90.00 degrees. Symmetry generates all atoms from Mn at (0.000, 0.000, 0.000), Ag at (0.356, 0.500, 0.713), Ag at (0.716, 0.000, 0.432) and P at (0.559, 0.500, 0.119).


No. 5
Compound: MnAgP2
Source: Alexandria via LeMat-Bulk
Functional: PBE
Structure: relaxed

The formation energy from the elements comes out at 0.332 eV per atom. The value obtained for the energy is -0.19763 Ha/atom. Its mass density is 5987 kg/m³. Its crystal system is orthorhombic. As for the total magnetization: 3.045 μB per formula unit. As for the energy above the most stable polymorph in this dataset: 355 meV per atom.

The space group is Immm (No. 71) and the conventional cell measures 3.452, 4.624 and 7.810 Å, with angles of 90.00, 90.00 and 90.00 degrees. Symmetry generates all atoms from Mn at (0.000, 0.000, 0.000), Ag at (0.000, 0.000, 0.500) and P at (0.000, 0.500, 0.281).


No. 6
Compound: MnAg2P
Source: Alexandria via LeMat-Bulk
Functional: PBE
Structure: relaxed

The formation energy from the elements comes out at 0.345 eV per atom. The value obtained for the energy is -0.17368 Ha/atom. Its mass density is 6303 kg/m³. Its crystal system is tetragonal. As for the total magnetization: 4.036 μB per formula unit.

The space group is I-42d (No. 122) and the conventional cell measures 8.242, 8.242 and 4.679 Å, with angles of 90.00, 90.00 and 90.00 degrees. Symmetry generates all atoms from Mn at (0.000, 0.000, 0.000), Ag at (0.159, 0.750, 0.625) and P at (0.000, 0.000, 0.500).


No. 7
Compound: MnAgP2
Source: Alexandria via LeMat-Bulk
Functional: PBE
Structure: relaxed

The formation energy from the elements comes out at 0.534 eV per atom. The value obtained for the energy is -0.19020 Ha/atom. Its mass density is 5881 kg/m³. Its crystal system is cubic. As for the total magnetization: 3.717 μB per formula unit. As for the energy above the most stable polymorph in this dataset: 557 meV per atom.

The space group is F-43m (No. 216) and the conventional cell measures 6.332, 6.332 and 6.332 Å, with angles of 90.00, 90.00 and 90.00 degrees. Symmetry generates all atoms from Mn at (0.000, 0.000, 0.000), Ag at (0.250, 0.250, 0.750), P at (0.000, 0.000, 0.500) and P at (0.250, 0.250, 0.250).


No. 8
Compound: MnAgP2
Source: Alexandria via LeMat-Bulk
Functional: PBE
Structure: relaxed

The formation energy from the elements comes out at 0.012 eV per atom. The value obtained for the energy is -0.20942 Ha/atom. Its mass density is 6264 kg/m³. Its crystal system is orthorhombic. As for the total magnetization: 0.000 μB per formula unit. As for the energy above the most stable polymorph in this dataset: 35 meV per atom.

The space group is Imm2 (No. 44) and the conventional cell measures 2.745, 3.472 and 12.503 Å, with angles of 90.00, 90.00 and 90.00 degrees. Symmetry generates all atoms from Mn at (0.000, 0.000, 0.000), Ag at (0.000, 0.500, 0.280), P at (0.000, 0.000, 0.443) and P at (0.000, 0.500, 0.644).


No. 9
Compound: Mn2AgPPb
Source: Alexandria via LeMat-Bulk
Functional: PBE
Structure: relaxed

The formation energy from the elements comes out at 1.369 eV per atom. The value obtained for the energy is -0.17245 Ha/atom. Its mass density is 5384 kg/m³. Its crystal system is tetragonal. As for the total magnetization: 8.129 μB per formula unit.

The space group is P4/mmm (No. 123) and the conventional cell measures 5.158, 5.158 and 5.286 Å, with angles of 90.00, 90.00 and 90.00 degrees. Symmetry generates all atoms from Mn at (0.000, 0.500, 0.000), Ag at (0.000, 0.000, 0.500), P at (0.500, 0.500, 0.500) and Pb at (0.500, 0.500, 0.000).


No. 10
Compound: TaMnAg2P
Source: Alexandria via LeMat-Bulk
Functional: PBE
Structure: relaxed

The formation energy from the elements comes out at 1.705 eV per atom. The value obtained for the energy is -0.17352 Ha/atom. Its mass density is 6769 kg/m³. Its crystal system is tetragonal. As for the total magnetization: 1.626 μB per formula unit.

The space group is P4/mmm (No. 123) and the conventional cell measures 5.157, 5.157 and 4.451 Å, with angles of 90.00, 90.00 and 90.00 degrees. Symmetry generates all atoms from Ta at (0.000, 0.000, 0.000), Mn at (0.000, 0.000, 0.500), Ag at (0.000, 0.500, 0.000) and P at (0.500, 0.500, 0.500).


No. 11
Compound: PaMn4AgS8
Source: Alexandria via LeMat-Bulk
Functional: PBE
Structure: relaxed

The value obtained for the energy is -0.24210 Ha/atom. The calculation puts the energy relative to the elements, uncorrected at -0.728 eV/atom. Its mass density is 4618 kg/m³. Its crystal system is trigonal. As for the total magnetization: 18.034 μB per formula unit.

The space group is R3m (No. 160, hexagonal axes) and the conventional cell measures 7.3938, 7.3938 and 18.5744 Å, with angles of 90.00, 90.00 and 120.00 degrees. Symmetry generates all atoms from Pa at (0.0000, 0.0000, 0.0000), Mn at (0.0000, 0.0000, 0.6322), Mn at (0.1699, 0.3398, 0.8308), Ag at (0.0000, 0.0000, 0.3627), S at (0.0000, 0.0000, 0.2311), S at (0.0000, 0.0000, 0.7625), S at (0.0156, 0.5078, 0.7575) and S at (0.1701, 0.3402, 0.5757).


No. 12
Compound: MnAg2Pb
Source: Alexandria via LeMat-Bulk
Functional: PBE
Structure: relaxed

The formation energy from the elements comes out at 0.223 eV per atom. The value obtained for the energy is -0.16249 Ha/atom. Its mass density is 9761 kg/m³. Its crystal system is tetragonal. As for the total magnetization: 4.179 μB per formula unit.

The space group is P4/mmm (No. 123) and the conventional cell measures 3.498, 3.498 and 6.642 Å, with angles of 90.00, 90.00 and 90.00 degrees. Symmetry generates all atoms from Mn at (0.000, 0.000, 0.000), Ag at (0.500, 0.500, 0.212) and Pb at (0.000, 0.000, 0.500).


No. 13
Compound: MnAgPb2
Source: Alexandria via LeMat-Bulk
Functional: PBE
Structure: relaxed

The formation energy from the elements comes out at 0.448 eV per atom. The value obtained for the energy is -0.16211 Ha/atom. Its mass density is 9786 kg/m³. Its crystal system is cubic. As for the total magnetization: 4.447 μB per formula unit. As for the energy above the most stable polymorph in this dataset: 208 meV per atom.

The space group is F-43m (No. 216) and the conventional cell measures 7.317, 7.317 and 7.317 Å, with angles of 90.00, 90.00 and 90.00 degrees. Symmetry generates all atoms from Mn at (0.000, 0.000, 0.000), Ag at (0.250, 0.250, 0.250), Pb at (0.000, 0.000, 0.500) and Pb at (0.250, 0.250, 0.750).


No. 14
Compound: MnAgPb2
Source: Alexandria via LeMat-Bulk
Functional: PBE
Structure: relaxed

The formation energy from the elements comes out at 0.276 eV per atom. The value obtained for the energy is -0.16843 Ha/atom. Its mass density is 10343 kg/m³. Its crystal system is monoclinic. As for the total magnetization: 3.936 μB per formula unit. As for the energy above the most stable polymorph in this dataset: 36 meV per atom.

The space group is Cm (No. 8) and the conventional cell measures 11.288, 3.325 and 5.209 Å, with angles of 90.00, 108.55 and 90.00 degrees. Symmetry generates all atoms from Mn at (0.000, 0.000, 0.000), Ag at (0.202, 0.500, 0.311), Pb at (0.254, 0.000, 0.855) and Pb at (0.470, 0.000, 0.491).


No. 15
Compound: MnAg2Pb
Source: Alexandria via LeMat-Bulk
Functional: PBE
Structure: relaxed

The formation energy from the elements comes out at 0.250 eV per atom. The value obtained for the energy is -0.16153 Ha/atom. Its mass density is 9778 kg/m³. Its crystal system is tetragonal. As for the total magnetization: 4.133 μB per formula unit.

The space group is P4mm (No. 99) and the conventional cell measures 3.423, 3.423 and 6.927 Å, with angles of 90.00, 90.00 and 90.00 degrees. Symmetry generates all atoms from Mn at (0.000, 0.000, 0.000), Ag at (0.000, 0.000, 0.576), Ag at (0.500, 0.500, 0.800) and Pb at (0.500, 0.500, 0.277).


No. 16
Compound: MnAg2Pb
Source: Alexandria via LeMat-Bulk
Functional: PBE
Structure: relaxed

The formation energy from the elements comes out at 0.389 eV per atom. The value obtained for the energy is -0.15642 Ha/atom. Its mass density is 9316 kg/m³. Its crystal system is tetragonal. As for the total magnetization: 3.831 μB per formula unit.

The space group is I-42d (No. 122) and the conventional cell measures 4.073, 4.073 and 20.542 Å, with angles of 90.00, 90.00 and 90.00 degrees. Symmetry generates all atoms from Mn at (0.000, 0.000, 0.000), Ag at (0.238, 0.250, 0.125) and Pb at (0.000, 0.000, 0.500).


No. 17
Compound: MnAgPb2
Source: Alexandria via LeMat-Bulk
Functional: PBE
Structure: relaxed

The formation energy from the elements comes out at 0.240 eV per atom. The value obtained for the energy is -0.16974 Ha/atom. Its mass density is 10067 kg/m³. Its crystal system is tetragonal. As for the total magnetization: 3.996 μB per formula unit. As for the energy above the most stable polymorph in this dataset: 0 meV per atom.

The space group is P4mm (No. 99) and the conventional cell measures 3.386, 3.386 and 8.303 Å, with angles of 90.00, 90.00 and 90.00 degrees. Symmetry generates all atoms from Mn at (0.000, 0.000, 0.000), Ag at (0.500, 0.500, 0.830), Pb at (0.000, 0.000, 0.582) and Pb at (0.500, 0.500, 0.232).


No. 18
Compound: MnAgPb2
Source: Alexandria via LeMat-Bulk
Functional: PBE
Structure: relaxed

The formation energy from the elements comes out at 0.344 eV per atom. The value obtained for the energy is -0.16592 Ha/atom. Its mass density is 10209 kg/m³. Its crystal system is orthorhombic. As for the total magnetization: 4.150 μB per formula unit. As for the energy above the most stable polymorph in this dataset: 104 meV per atom.

The space group is Immm (No. 71) and the conventional cell measures 4.746, 4.764 and 8.305 Å, with angles of 90.00, 90.00 and 90.00 degrees. Symmetry generates all atoms from Mn at (0.000, 0.000, 0.000), Ag at (0.000, 0.000, 0.500) and Pb at (0.000, 0.500, 0.250).


No. 19
Compound: MnAg4Pb
Source: Alexandria via LeMat-Bulk
Functional: PBE
Structure: relaxed

The formation energy from the elements comes out at 0.251 eV per atom. The value obtained for the energy is -0.13949 Ha/atom. Its mass density is 9431 kg/m³. Its crystal system is cubic. As for the total magnetization: 4.612 μB per formula unit.

The space group is F-43m (No. 216) and the conventional cell measures 7.876, 7.876 and 7.876 Å, with angles of 90.00, 90.00 and 90.00 degrees. Symmetry generates all atoms from Mn at (0.000, 0.000, 0.000), Ag at (0.126, 0.126, 0.374) and Pb at (0.250, 0.250, 0.750).


No. 20
Compound: MnAg2Pb
Source: Alexandria via LeMat-Bulk
Functional: PBE
Structure: relaxed

The formation energy from the elements comes out at 0.294 eV per atom. The value obtained for the energy is -0.15990 Ha/atom. Its mass density is 9763 kg/m³. Its crystal system is monoclinic. As for the total magnetization: 4.072 μB per formula unit.

The space group is Cm (No. 8) and the conventional cell measures 9.525, 3.257 and 5.332 Å, with angles of 90.00, 100.65 and 90.00 degrees. Symmetry generates all atoms from Mn at (0.000, 0.000, 0.000), Ag at (0.238, 0.500, 0.221), Ag at (0.486, 0.000, 0.441) and Pb at (0.245, 0.000, 0.734).